# Li4V3CuP4O16 | Alexandria via LeMat-Bulk | GGA+U | relaxed
data_Li4V3CuP4O16
_cell_length_a 4.7678
_cell_length_b 6.1032
_cell_length_c 10.3944
_cell_angle_alpha 90.00
_cell_angle_beta 90.68
_cell_angle_gamma 90.00
_space_group_name_H-M_alt 'P 1 m 1'
_space_group_IT_number 6
loop_
_space_group_symop_operation_xyz
'x,y,z'
'x,-y,z'
loop_
_atom_site_label
_atom_site_type_symbol
_atom_site_fract_x
_atom_site_fract_y
_atom_site_fract_z
Li1 Li 0.0000 0.2409 0.0000
Li2 Li 0.4967 0.2447 0.4894
V1 V 0.0218 0.5000 0.7198
V2 V 0.4796 0.5000 0.2143
V3 V 0.5191 0.0000 0.7704
Cu1 Cu 0.9492 0.0000 0.2794
P1 P 0.0845 0.0000 0.5840
P2 P 0.4268 0.0000 0.0878
P3 P 0.5938 0.5000 0.9047
P4 P 0.9073 0.5000 0.3968
O1 O 0.1977 0.0000 0.4449
O2 O 0.2240 0.2027 0.6539
O3 O 0.2289 0.5000 0.3884
O4 O 0.2723 0.5000 0.9003
O5 O 0.2937 0.0000 0.9503
O6 O 0.3027 0.2083 0.1560
O7 O 0.7159 0.5000 0.0449
O8 O 0.7300 0.2975 0.8358
O9 O 0.7495 0.0000 0.0893
O10 O 0.7614 0.3025 0.3248
O11 O 0.7622 0.0000 0.5897
O12 O 0.7970 0.5000 0.5361
# Calculated volume   302 Å³ per cell
# Crystal system   monoclinic
# Calculated total energy   -6.950 eV per atom